Entry from the Alexandria database: GeSbI2Br at its PBEsol-relaxed geometry (meta-GGA SCAN).

- Electronic total energy: -144.4 eV/cell

CIF file:
```
data_GeSbI2Br
_space_group_name_H-M_alt 'P 4/m m m'
_space_group_IT_number 123
_space_group_name_Hall '-P 4 2'
_cell_length_a 5.681
_cell_length_b 5.681
_cell_length_c 5.547
_cell_angle_alpha 90.00
_cell_angle_beta 90.00
_cell_angle_gamma 90.00
loop_
_atom_site_label
_atom_site_type_symbol
_atom_site_fract_x
_atom_site_fract_y
_atom_site_fract_z
Ge1 Ge 0.000 0.000 0.000
Sb1 Sb 0.500 0.500 0.000
I1 I 0.000 0.500 0.500
Br1 Br 0.500 0.500 0.500
```

=====

Entry from the Alexandria database: Li3La at its PBEsol-relaxed geometry (meta-GGA SCAN).

- Electronic total energy: -200.0 eV/cell
- ΔE_f: 0.069 eV per atom

CIF file:
```
data_Li3La
_space_group_name_H-M_alt 'C m c m'
_space_group_IT_number 63
_space_group_name_Hall '-C 2c 2'
_cell_length_a 10.593
_cell_length_b 10.490
_cell_length_c 3.422
_cell_angle_alpha 90.00
_cell_angle_beta 90.00
_cell_angle_gamma 90.00
loop_
_atom_site_label
_atom_site_type_symbol
_atom_site_fract_x
_atom_site_fract_y
_atom_site_fract_z
Li1 Li 0.000 0.105 0.250
Li2 Li 0.225 0.121 0.750
La1 La 0.000 0.375 0.750
```

=====

Entry from the Alexandria database: P3C at its PBEsol-relaxed geometry (meta-GGA SCAN).

- Electronic total energy: -72.8 eV/cell
- ΔE_f: 1.221 eV per atom

CIF file:
```
data_P3C
_space_group_name_H-M_alt 'C m m m'
_space_group_IT_number 65
_space_group_name_Hall '-C 2 2'
_cell_length_a 2.683
_cell_length_b 5.610
_cell_length_c 7.037
_cell_angle_alpha 90.00
_cell_angle_beta 90.00
_cell_angle_gamma 90.00
loop_
_atom_site_label
_atom_site_type_symbol
_atom_site_fract_x
_atom_site_fract_y
_atom_site_fract_z
P1 P 0.000 0.000 0.000
P2 P 0.000 0.500 0.316
C1 C 0.000 0.000 0.500
```

=====

Entry from the Alexandria database: TaAg2GeF at its PBEsol-relaxed geometry (meta-GGA SCAN).

- Electronic total energy: -148.7 eV/cell

CIF file:
```
data_TaAg2GeF
_space_group_name_H-M_alt 'P 4/m m m'
_space_group_IT_number 123
_space_group_name_Hall '-P 4 2'
_cell_length_a 4.695
_cell_length_b 4.695
_cell_length_c 4.931
_cell_angle_alpha 90.00
_cell_angle_beta 90.00
_cell_angle_gamma 90.00
loop_
_atom_site_label
_atom_site_type_symbol
_atom_site_fract_x
_atom_site_fract_y
_atom_site_fract_z
Ta1 Ta 0.000 0.000 0.000
Ag1 Ag 0.000 0.500 0.500
Ge1 Ge 0.000 0.000 0.500
F1 F 0.500 0.500 0.000
```

=====

Entry from the Alexandria database: ScInFe2 at its PBEsol-relaxed geometry (meta-GGA SCAN).

- Electronic total energy: -247.4 eV/cell
- ΔE_f: 0.357 eV per atom

CIF file:
```
data_ScInFe2
_space_group_name_H-M_alt 'R -3 m'
_space_group_IT_number 166
_space_group_name_Hall '-R 3 2"'
_cell_length_a 2.9569
_cell_length_b 2.9569
_cell_length_c 25.4393
_cell_angle_alpha 90.00
_cell_angle_beta 90.00
_cell_angle_gamma 120.00
loop_
_atom_site_label
_atom_site_type_symbol
_atom_site_fract_x
_atom_site_fract_y
_atom_site_fract_z
Sc1 Sc 0.0000 0.0000 0.0000
In1 In 0.0000 0.0000 0.5000
Fe1 Fe 0.0000 0.0000 0.2508
```

=====

Entry from the Alexandria database: Cu2RePt at its PBEsol-relaxed geometry (meta-GGA SCAN).

- Electronic total energy: -341.4 eV/cell
- ΔE_f: 0.252 eV per atom

CIF file:
```
data_Cu2RePt
_space_group_name_H-M_alt 'C m m m'
_space_group_IT_number 65
_space_group_name_Hall '-C 2 2'
_cell_length_a 5.307
_cell_length_b 7.649
_cell_length_c 2.608
_cell_angle_alpha 90.00
_cell_angle_beta 90.00
_cell_angle_gamma 90.00
loop_
_atom_site_label
_atom_site_type_symbol
_atom_site_fract_x
_atom_site_fract_y
_atom_site_fract_z
Cu1 Cu 0.250 0.250 0.000
Re1 Re 0.000 0.000 0.500
Pt1 Pt 0.000 0.500 0.500
```

=====

Question: What is the formula in the first record?
Answer: GeSbI2Br

=====

Question: Among the records above, which one has the lowest electronic total energy?
Answer: Cu2RePt

=====

Question: Which value of electronic total energy does entry 1 give?
Answer: -144.4 eV/cell

=====

Question: Look up the electronic total energy of the sixth one.
Answer: -341.4 eV/cell